[1]
This record from Alexandria via LeMat-Bulk describes a relaxed structure of PrTlCdPb. The functional is GGA-PBE.

Values from the calculation:
* DOS(E_F): 0.40 states/eV/atom
* VASP energy: -13.233 eV/f.u.
* V: 111.9 Å³ per cell

Cell: 4.6669 4.7999 4.9956 Å, 90.00 90.00 90.00°
Fractional positions:
Pr 0.0000 0.0000 0.0000
Tl 0.5000 0.0000 0.5000
Cd 0.0000 0.5000 0.5000
Pb 0.5000 0.5000 0.0000

[2]
This record from Alexandria via LeMat-Bulk describes a relaxed structure of PrTlCdPb. The functional is GGA-PBE.

Values from the calculation:
* DOS(E_F): 0.38 states/eV/atom
* VASP energy: -12.562 eV/f.u.
* V: 115.1 Å³ per cell

Cell: 5.4599 5.4599 5.4599 Å, 60.00 60.00 60.00°
Fractional positions:
Pr 0.0000 0.0000 0.0000
Tl 0.7500 0.7500 0.7500
Cd 0.5000 0.5000 0.5000
Pb 0.2500 0.2500 0.2500

[3]
This record from Alexandria via LeMat-Bulk describes a relaxed structure of PrZnCdPb. The functional is GGA-PBE.

Values from the calculation:
* DOS(E_F): 0.64 states/eV/atom
* VASP energy: -11.386 eV/f.u.
* V: 103.5 Å³ per cell

Cell: 5.2705 5.2705 5.2705 Å, 60.00 60.00 60.00°
Fractional positions:
Pr 0.0000 0.0000 0.0000
Zn 0.2500 0.2500 0.2500
Cd 0.7500 0.7500 0.7500
Pb 0.5000 0.5000 0.5000

[4]
This record from Alexandria via LeMat-Bulk describes a relaxed structure of PrZrCdPb. The functional is GGA-PBE.

Values from the calculation:
* DOS(E_F): 1.01 states/eV/atom
* VASP energy: -18.583 eV/f.u.
* V: 105.2 Å³ per cell

Cell: 5.2992 5.2992 5.2992 Å, 60.00 60.00 60.00°
Fractional positions:
Pr 0.0000 0.0000 0.0000
Zr 0.5000 0.5000 0.5000
Cd 0.7500 0.7500 0.7500
Pb 0.2500 0.2500 0.2500

Q: Look up the VASP energy of the third one.
A: -11.386 eV/f.u.

Q: DOS(E_F) of number 2 (PrTlCdPb)?
A: 0.38 states/eV/atom

Copy entry 3 word for word.
This record from Alexandria via LeMat-Bulk describes a relaxed structure of PrZnCdPb. The functional is GGA-PBE.

Values from the calculation:
* DOS(E_F): 0.64 states/eV/atom
* VASP energy: -11.386 eV/f.u.
* V: 103.5 Å³ per cell

Cell: 5.2705 5.2705 5.2705 Å, 60.00 60.00 60.00°
Fractional positions:
Pr 0.0000 0.0000 0.0000
Zn 0.2500 0.2500 0.2500
Cd 0.7500 0.7500 0.7500
Pb 0.5000 0.5000 0.5000

Q: Look up the V of the third one.
A: 103.5 Å³ per cell